Here is KPd3Cl after structural relaxation from Alexandria. Energies are from PBE.

As for the electronic total energy: -17.8 eV/f.u. The value obtained for the uncorrected formation energy is 0.1399 eV per atom. The relative energy among the computed polymorphs comes out at 0.0 kJ/mol of atoms.

The structure in CIF format:
```
data_KPd3Cl
_cell_length_a 4.7464
_cell_length_b 4.7464
_cell_length_c 4.7464
_cell_angle_alpha 90.00
_cell_angle_beta 90.00
_cell_angle_gamma 90.00
_space_group_name_H-M_alt 'P m -3 m'
_space_group_IT_number 221
_space_group_name_Hall '-P 4 2 3'
loop_
_atom_site_label
_atom_site_type_symbol
_atom_site_fract_x
_atom_site_fract_y
_atom_site_fract_z
_atom_site_occupancy
K1 K 0.0000 0.0000 0.0000 1
Pd1 Pd 0.0000 0.5000 0.5000 1
Cl1 Cl 0.5000 0.5000 0.5000 1
```

***

Here is SiGeSb2Te after structural relaxation from Alexandria. Energies are from PBE.

As for the electronic total energy: -18.1 eV/f.u. The value obtained for the uncorrected formation energy is 0.6636 eV per atom. The relative energy among the computed polymorphs comes out at 0.0 kJ/mol of atoms.

The structure in CIF format:
```
data_SiGeSb2Te
_cell_length_a 5.2160
_cell_length_b 5.2160
_cell_length_c 5.2388
_cell_angle_alpha 90.00
_cell_angle_beta 90.00
_cell_angle_gamma 90.00
_space_group_name_H-M_alt 'P 4/m m m'
_space_group_IT_number 123
_space_group_name_Hall '-P 4 2'
loop_
_atom_site_label
_atom_site_type_symbol
_atom_site_fract_x
_atom_site_fract_y
_atom_site_fract_z
_atom_site_occupancy
Si1 Si 0.0000 0.0000 0.0000 1
Ge1 Ge 0.5000 0.5000 0.5000 1
Sb1 Sb 0.0000 0.5000 0.0000 1
Te1 Te 0.0000 0.0000 0.5000 1
```

***

Here is FeAg2Ir after structural relaxation from Alexandria. Energies are from PBE.

Its calculated formation energy is 400 meV/atom. As for the electronic total energy: -21.4 eV/f.u. The relative energy among the computed polymorphs comes out at 19.6 kJ/mol of atoms.

The structure in CIF format:
```
data_FeAg2Ir
_cell_length_a 3.8053
_cell_length_b 3.8053
_cell_length_c 8.6412
_cell_angle_alpha 90.00
_cell_angle_beta 90.00
_cell_angle_gamma 90.00
_space_group_name_H-M_alt 'I 4/m m m'
_space_group_IT_number 139
_space_group_name_Hall '-I 4 2'
loop_
_atom_site_label
_atom_site_type_symbol
_atom_site_fract_x
_atom_site_fract_y
_atom_site_fract_z
_atom_site_occupancy
Fe1 Fe 0.0000 0.0000 0.0000 1
Ag1 Ag 0.0000 0.5000 0.2500 1
Ir1 Ir 0.0000 0.0000 0.5000 1
```

***

Here is Ho4TmLu after structural relaxation from Alexandria. Energies are from PBE.

Its calculated formation energy is 257 meV/atom. As for the electronic total energy: -25.8 eV/f.u.

The structure in CIF format:
```
data_Ho4TmLu
_cell_length_a 9.1463
_cell_length_b 9.1463
_cell_length_c 9.1463
_cell_angle_alpha 90.00
_cell_angle_beta 90.00
_cell_angle_gamma 90.00
_space_group_name_H-M_alt 'F -4 3 m'
_space_group_IT_number 216
_space_group_name_Hall 'F -4 2 3'
loop_
_atom_site_label
_atom_site_type_symbol
_atom_site_fract_x
_atom_site_fract_y
_atom_site_fract_z
_atom_site_occupancy
Ho1 Ho 0.1250 0.1250 0.1250 1
Tm1 Tm 0.2500 0.2500 0.7500 1
Lu1 Lu 0.0000 0.0000 0.5000 1
```

***

Here is BaSbPd2F after structural relaxation from Alexandria. Energies are from PBE.

As for the electronic total energy: -19.5 eV/f.u. The value obtained for the uncorrected formation energy is -0.2306 eV per atom. The relative energy among the computed polymorphs comes out at 0.0 kJ/mol of atoms.

The structure in CIF format:
```
data_BaSbPd2F
_cell_length_a 5.5800
_cell_length_b 5.5800
_cell_length_c 4.6180
_cell_angle_alpha 90.00
_cell_angle_beta 90.00
_cell_angle_gamma 90.00
_space_group_name_H-M_alt 'P 4/m m m'
_space_group_IT_number 123
_space_group_name_Hall '-P 4 2'
loop_
_atom_site_label
_atom_site_type_symbol
_atom_site_fract_x
_atom_site_fract_y
_atom_site_fract_z
_atom_site_occupancy
Ba1 Ba 0.0000 0.0000 0.0000 1
Sb1 Sb 0.5000 0.5000 0.5000 1
Pd1 Pd 0.0000 0.5000 0.0000 1
F1 F 0.0000 0.0000 0.5000 1
```

***

Here is Bi5Rh2O12 after structural relaxation from Alexandria. Energies are from PBE.

As for the electronic total energy: -113.9 eV/f.u. The value obtained for the uncorrected formation energy is -1.0680 eV per atom.

The structure in CIF format:
```
data_Bi5Rh2O12
_cell_length_a 12.7332
_cell_length_b 6.1239
_cell_length_c 7.4262
_cell_angle_alpha 90.00
_cell_angle_beta 106.73
_cell_angle_gamma 90.00
_space_group_name_H-M_alt 'C 1 2/m 1'
_space_group_IT_number 12
loop_
_space_group_symop_operation_xyz
'x,y,z'
'-x,-y,-z'
'-x,y,-z'
'x,-y,z'
'x+1/2,y+1/2,z'
'-x+1/2,-y+1/2,-z'
'-x+1/2,y+1/2,-z'
'x+1/2,-y+1/2,z'
loop_
_atom_site_label
_atom_site_type_symbol
_atom_site_fract_x
_atom_site_fract_y
_atom_site_fract_z
_atom_site_occupancy
Bi1 Bi 0.0000 0.0000 0.0000 1
Bi2 Bi 0.1943 0.5000 0.8556 1
Bi3 Bi 0.1954 0.5000 0.3392 1
Rh1 Rh 0.0000 0.2471 0.5000 1
O1 O 0.0006 0.0000 0.3244 1
O2 O 0.0023 0.5000 0.3196 1
O3 O 0.1538 0.2488 0.0798 1
O4 O 0.1634 0.2648 0.5822 1
```

***

Here is BaRh2W after structural relaxation from Alexandria. Energies are from PBE.

Its calculated formation energy is 525 meV/atom. As for the electronic total energy: -27.5 eV/f.u. The relative energy among the computed polymorphs comes out at 39.3 kJ/mol of atoms.

The structure in CIF format:
```
data_BaRh2W
_cell_length_a 7.5341
_cell_length_b 7.5341
_cell_length_c 6.8471
_cell_angle_alpha 90.00
_cell_angle_beta 90.00
_cell_angle_gamma 90.00
_space_group_name_H-M_alt 'I -4 2 d'
_space_group_IT_number 122
_space_group_name_Hall 'I -4 2bw'
loop_
_atom_site_label
_atom_site_type_symbol
_atom_site_fract_x
_atom_site_fract_y
_atom_site_fract_z
_atom_site_occupancy
Ba1 Ba 0.0000 0.0000 0.0000 1
Rh1 Rh 0.1695 0.2500 0.6250 1
W1 W 0.0000 0.0000 0.5000 1
```

***

Here is LaSmGa2Au5 after structural relaxation from Alexandria. Energies are from PBE.

Its calculated formation energy is -545 meV/atom. As for the electronic total energy: -37.0 eV/f.u.

The structure in CIF format:
```
data_LaSmGa2Au5
_cell_length_a 4.7573
_cell_length_b 4.7573
_cell_length_c 8.6625
_cell_angle_alpha 90.00
_cell_angle_beta 90.00
_cell_angle_gamma 90.00
_space_group_name_H-M_alt 'P 4/m m m'
_space_group_IT_number 123
_space_group_name_Hall '-P 4 2'
loop_
_atom_site_label
_atom_site_type_symbol
_atom_site_fract_x
_atom_site_fract_y
_atom_site_fract_z
_atom_site_occupancy
La1 La 0.0000 0.0000 0.0000 1
Sm1 Sm 0.0000 0.0000 0.5000 1
Ga1 Ga 0.5000 0.5000 0.3553 1
Au1 Au 0.0000 0.5000 0.2411 1
Au2 Au 0.5000 0.5000 0.0000 1
```

***

Here is CaCo2Cl6 after structural relaxation from Alexandria. Energies are from PBE.

As for the electronic total energy: -37.4 eV/f.u. The value obtained for the uncorrected formation energy is -1.1220 eV per atom.

The structure in CIF format:
```
data_CaCo2Cl6
_cell_length_a 12.7056
_cell_length_b 3.8540
_cell_length_c 10.6665
_cell_angle_alpha 90.00
_cell_angle_beta 96.24
_cell_angle_gamma 90.00
_space_group_name_H-M_alt 'C 1 2/m 1'
_space_group_IT_number 12
loop_
_space_group_symop_operation_xyz
'x,y,z'
'-x,-y,-z'
'-x,y,-z'
'x,-y,z'
'x+1/2,y+1/2,z'
'-x+1/2,-y+1/2,-z'
'-x+1/2,y+1/2,-z'
'x+1/2,-y+1/2,z'
loop_
_atom_site_label
_atom_site_type_symbol
_atom_site_fract_x
_atom_site_fract_y
_atom_site_fract_z
_atom_site_occupancy
Ca1 Ca 0.0000 0.0000 0.0000 1
Co1 Co 0.2090 0.5000 0.7337 1
Cl1 Cl 0.1154 0.0000 0.2309 1
Cl2 Cl 0.1319 0.5000 0.9210 1
Cl3 Cl 0.1550 0.0000 0.6295 1
```

***

Here is Ce3Zn7Ir4 after structural relaxation from Alexandria. Energies are from PBE.

Its calculated formation energy is -479 meV/atom. As for the electronic total energy: -68.9 eV/f.u.

The structure in CIF format:
```
data_Ce3Zn7Ir4
_cell_length_a 15.4055
_cell_length_b 4.0946
_cell_length_c 9.8293
_cell_angle_alpha 90.00
_cell_angle_beta 123.96
_cell_angle_gamma 90.00
_space_group_name_H-M_alt 'C 1 2/m 1'
_space_group_IT_number 12
loop_
_space_group_symop_operation_xyz
'x,y,z'
'-x,-y,-z'
'-x,y,-z'
'x,-y,z'
'x+1/2,y+1/2,z'
'-x+1/2,-y+1/2,-z'
'-x+1/2,y+1/2,-z'
'x+1/2,-y+1/2,z'
loop_
_atom_site_label
_atom_site_type_symbol
_atom_site_fract_x
_atom_site_fract_y
_atom_site_fract_z
_atom_site_occupancy
Ce1 Ce 0.0000 0.0000 0.0000 1
Ce2 Ce 0.2012 0.5000 0.7180 1
Zn1 Zn 0.0000 0.0000 0.5000 1
Zn2 Zn 0.0164 0.5000 0.3127 1
Zn3 Zn 0.1594 0.0000 0.4301 1
Zn4 Zn 0.1755 0.5000 0.0080 1
Ir1 Ir 0.1086 0.0000 0.8107 1
Ir2 Ir 0.1615 0.5000 0.2600 1
```

***

Here is Tb2Sm8Cd after structural relaxation from Alexandria. Energies are from PBE.

Its calculated formation energy is -17 meV/atom. As for the electronic total energy: -48.1 eV/f.u. The relative energy among the computed polymorphs comes out at 0.0 kJ/mol of atoms.

The structure in CIF format:
```
data_Tb2Sm8Cd
_cell_length_a 18.1858
_cell_length_b 5.0565
_cell_length_c 7.9938
_cell_angle_alpha 90.00
_cell_angle_beta 105.54
_cell_angle_gamma 90.00
_space_group_name_H-M_alt 'C 1 2/m 1'
_space_group_IT_number 12
loop_
_space_group_symop_operation_xyz
'x,y,z'
'-x,-y,-z'
'-x,y,-z'
'x,-y,z'
'x+1/2,y+1/2,z'
'-x+1/2,-y+1/2,-z'
'-x+1/2,y+1/2,-z'
'x+1/2,-y+1/2,z'
loop_
_atom_site_label
_atom_site_type_symbol
_atom_site_fract_x
_atom_site_fract_y
_atom_site_fract_z
_atom_site_occupancy
Tb1 Tb 0.2244 0.0000 0.1348 1
Sm1 Sm 0.0454 0.0000 0.2234 1
Sm2 Sm 0.0900 0.5000 0.9452 1
Sm3 Sm 0.1357 0.0000 0.6793 1
Sm4 Sm 0.1807 0.5000 0.4104 1
Cd1 Cd 0.0000 0.5000 0.5000 1
```

***

Here is K2InPbSe4 after structural relaxation from Alexandria. Energies are from PBE.

As for the electronic total energy: -28.7 eV/f.u. The value obtained for the uncorrected formation energy is -0.7650 eV per atom.

The structure in CIF format:
```
data_K2InPbSe4
_cell_length_a 8.2260
_cell_length_b 8.2260
_cell_length_c 7.2225
_cell_angle_alpha 90.00
_cell_angle_beta 90.00
_cell_angle_gamma 90.00
_space_group_name_H-M_alt 'I -4 2 m'
_space_group_IT_number 121
_space_group_name_Hall 'I -4 2'
loop_
_atom_site_label
_atom_site_type_symbol
_atom_site_fract_x
_atom_site_fract_y
_atom_site_fract_z
_atom_site_occupancy
K1 K 0.0000 0.5000 0.0000 1
In1 In 0.0000 0.0000 0.0000 1
Pb1 Pb 0.0000 0.0000 0.5000 1
Se1 Se 0.1791 0.1791 0.7720 1
```